The following is a DFT calculation (PBE-GGA) of Pr2Sm2CIBr2Cl2 after structural relaxation.

a = 17.777 Å, b = 3.965 Å, c = 8.703 Å
α = 90.00°, β = 104.84°, γ = 90.00°
Space group C2/m (No. 12)
Symmetry-distinct sites (fractional):
Pr  0.147  0.000  0.078
Sm  0.001  0.500  0.806
C  0.000  0.000  0.000
I  0.000  0.000  0.500
Br  0.169  0.500  0.340
Cl  0.168  0.500  0.848

Properties
E_tot (eV/cell): -103.03
Calculated density (g/cm3): 5.33